A plane-wave DFT calculation with GGA-PBE was carried out for NiPbS after structural relaxation.

Computed properties:
ΔE_f (raw): -0.273 eV/atom
symmetry: P3m1 (156)

Cell: 4.4796 3.8627 3.8627 Å, 120.00 90.00 90.00°
Closest atoms and distances in Å follow each position.
Fractional coordinates of all 3 atoms:
S 0.1668 0.3333 0.6667  3 Ni 2.23
Ni 0.1658 0.0000 0.0000  3 S 2.23
Pb 0.6674 0.6667 0.3333  6 Ni 3.16-3.17, 6 S 3.16